Record 1
Material: Be3CoRu
Method: DFT, PBE
State: optimized geometry

## Properties
N(E_F) = 6.78 states/eV/cell
total magnetic moment = 0.0027 μB/atom
electronic total energy = -5.701 eV/atom
calculated volume = 9.45 Å³ per atom
energy above the lowest structure with this stoichiometry = 0.000 eV per formula unit
formation enthalpy at 0 K = -0.19 eV per atom

Lattice parameters (Å, degrees): 4.171 4.192 5.499 90.00 100.73 90.00
Positions (direct):
Be  0.500  0.000  0.000
Ru  0.818  0.250  0.394
Ru  0.182  0.750  0.606
Be  0.570  0.750  0.343
Be  0.272  0.250  0.257
Co  0.016  0.750  0.130
Be  0.728  0.750  0.743
Be  0.430  0.250  0.657
Co  0.984  0.250  0.870
Be  0.500  0.500  0.000

***

Record 2
Material: Be4CoRu
Method: DFT, PBE
State: optimized geometry

## Properties
N(E_F) = 2.62 states/eV/cell
total magnetic moment = 0.1658 μB/atom
electronic total energy = -5.150 eV/atom
calculated volume = 10.10 Å³ per atom
energy above the lowest structure with this stoichiometry = 2.187 eV per formula unit
formation enthalpy at 0 K = 0.06 eV per atom

Lattice parameters (Å, degrees): 2.364 6.907 3.711 90.00 90.00 90.00
Last column: magnetic moment on the atom in μB.
Positions (direct):
Be  0.000  0.184  0.500  0.00
Ru  0.500  0.500  0.500  0.06
Be  0.500  0.285  0.000  -0.01
Be  0.000  0.816  0.500  0.00
Co  0.000  0.000  0.000  0.95
Be  0.500  0.715  0.000  -0.01

***

Record 3
Material: BeCo2Ru
Method: DFT, PBE
State: optimized geometry

## Properties
N(E_F) = 4.29 states/eV/cell
total magnetic moment = 0.2636 μB/atom
electronic total energy = -6.855 eV/atom
calculated volume = 10.56 Å³ per atom
formation enthalpy at 0 K = -0.05 eV per atom

Lattice parameters (Å, degrees): 4.588 4.588 4.588 144.78 129.94 62.68
Last column: magnetic moment on the atom in μB.
Positions (direct):
Ru  0.750  0.250  0.500  0.01
Be  0.250  0.750  0.500  -0.01
Co  0.020  0.020  0.000  0.54
Co  0.480  0.480  0.000  0.54

***

Record 4
Material: BeCo2Ru
Method: DFT, PBE
State: optimized geometry

## Properties
N(E_F) = 4.65 states/eV/cell
total magnetic moment = 0.2108 μB/atom
electronic total energy = -6.774 eV/atom
calculated volume = 10.85 Å³ per atom
formation enthalpy at 0 K = 0.03 eV per atom

Lattice parameters (Å, degrees): 4.291 4.291 4.291 131.52 131.52 70.98
Last column: magnetic moment on the atom in μB.
Positions (direct):
Ru  0.500  0.500  0.000  0.20
Co  0.250  0.750  0.500  -0.12
Be  0.750  0.250  0.500  -0.01
Co  0.000  0.000  0.000  0.78

***

Record 5
Material: BeCo2Ru
Method: DFT, PBE
State: optimized geometry

## Properties
N(E_F) = 4.91 states/eV/cell
total magnetic moment = 0.0028 μB/atom
electronic total energy = -6.757 eV/atom
calculated volume = 10.90 Å³ per atom
formation enthalpy at 0 K = 0.05 eV per atom

Lattice parameters (Å, degrees): 4.259 4.259 4.278 78.86 78.86 35.02
Positions (direct):
Be  0.256  0.256  0.223
Co  0.995  0.995  0.019
Ru  0.500  0.500  0.504
Co  0.748  0.748  0.754

***

Record 6
Material: BeCo3Ru
Method: DFT, PBE
State: optimized geometry

## Properties
N(E_F) = 3.86 states/eV/cell
total magnetic moment = 1.1035 μB/atom
electronic total energy = -6.335 eV/atom
calculated volume = 11.49 Å³ per atom
energy above the lowest structure with this stoichiometry = 0.000 eV per formula unit
formation enthalpy at 0 K = 0.53 eV per atom

Lattice parameters (Å, degrees): 3.858 3.858 3.858 90.00 90.00 90.00
Last column: magnetic moment on the atom in μB.
Positions (direct):
Co  0.000  0.000  0.500  1.45
Co  0.000  0.500  0.000  1.33
Co  0.500  0.000  0.000  1.42
Be  0.000  0.000  0.000  -0.12
Ru  0.500  0.500  0.500  1.50

***

Record 7
Material: Be15Co2Ru2
Method: DFT, PBE
State: optimized geometry

## Properties
N(E_F) = 9.20 states/eV/cell
total magnetic moment = 0.0001 μB/atom
electronic total energy = -4.880 eV/atom
calculated volume = 8.56 Å³ per atom
formation enthalpy at 0 K = -0.21 eV per atom

Lattice parameters (Å, degrees): 5.510 5.510 5.510 81.83 81.83 81.83
Positions (direct):
Be  0.349  0.841  0.349
Be  0.698  0.302  0.000
Be  0.651  0.651  0.159
Be  0.000  0.698  0.302
Be  0.349  0.349  0.841
Be  0.159  0.651  0.651
Be  0.841  0.349  0.349
Be  0.000  0.500  0.000
Co  0.101  0.101  0.101
Be  0.500  0.000  0.000
Be  0.698  0.000  0.302
Be  0.302  0.698  0.000
Ru  0.647  0.647  0.647
Be  0.651  0.159  0.651
Ru  0.353  0.353  0.353
Co  0.899  0.899  0.899
Be  0.000  0.302  0.698
Be  0.000  0.000  0.500
Be  0.302  0.000  0.698

***

Record 8
Material: BeCo2Ru
Method: DFT, PBE
State: optimized geometry

## Properties
N(E_F) = 4.78 states/eV/cell
total magnetic moment = 1.0042 μB/atom
electronic total energy = -6.772 eV/atom
calculated volume = 11.20 Å³ per atom
formation enthalpy at 0 K = 0.03 eV per atom

Lattice parameters (Å, degrees): 2.868 3.817 4.092 90.00 90.00 90.00
Last column: magnetic moment on the atom in μB.
Positions (direct):
Co  0.000  0.000  0.000  1.85
Ru  0.500  0.000  0.500  0.58
Be  0.000  0.500  0.500  -0.02
Co  0.500  0.500  0.000  1.63

***

Record 9
Material: BeCo2Ru
Method: DFT, PBE
State: optimized geometry

## Properties
N(E_F) = 4.65 states/eV/cell
total magnetic moment = 0.2199 μB/atom
electronic total energy = -6.817 eV/atom
calculated volume = 10.76 Å³ per atom
formation enthalpy at 0 K = -0.01 eV per atom

Lattice parameters (Å, degrees): 4.416 4.416 4.416 134.56 134.56 66.22
Last column: magnetic moment on the atom in μB.
Positions (direct):
Be  0.750  0.250  0.500  -0.01
Co  0.000  0.000  0.000  0.35
Co  0.500  0.500  0.000  0.35
Ru  0.250  0.750  0.500  0.20

***

Record 10
Material: BeCo2Ru
Method: DFT, PBE
State: optimized geometry

## Properties
N(E_F) = 4.54 states/eV/cell
total magnetic moment = 0.7207 μB/atom
electronic total energy = -6.780 eV/atom
calculated volume = 10.97 Å³ per atom
formation enthalpy at 0 K = 0.02 eV per atom

Lattice parameters (Å, degrees): 4.651 4.651 4.651 146.11 127.75 63.75
Last column: magnetic moment on the atom in μB.
Positions (direct):
Co  0.756  0.256  0.500  1.33
Be  0.241  0.741  0.500  -0.04
Co  0.019  0.019  0.000  1.21
Ru  0.485  0.485  0.000  0.44

***

Record 11
Material: BeCo2Ru
Method: DFT, PBE
State: optimized geometry

## Properties
N(E_F) = 1.69 states/eV/cell
total magnetic moment = 0.0000 μB/atom
electronic total energy = -6.910 eV/atom
calculated volume = 10.44 Å³ per atom
formation enthalpy at 0 K = -0.11 eV per atom

Lattice parameters (Å, degrees): 2.587 2.587 6.239 90.00 90.00 90.00
Positions (direct):
Be  0.500  0.500  0.750
Ru  0.500  0.500  0.250
Co  0.000  0.000  0.964
Co  0.000  0.000  0.536

***

Record 12
Material: Be3CoRu
Method: DFT, PBE
State: optimized geometry

## Properties
N(E_F) = 2.70 states/eV/cell
total magnetic moment = 0.0000 μB/atom
electronic total energy = -4.993 eV/atom
calculated volume = 10.80 Å³ per atom
energy above the lowest structure with this stoichiometry = 3.541 eV per formula unit
formation enthalpy at 0 K = 0.52 eV per atom

Lattice parameters (Å, degrees): 3.780 3.780 3.780 90.00 90.00 90.00
Positions (direct):
Be  0.000  0.000  0.500
Co  0.000  0.000  0.000
Be  0.500  0.000  0.000
Be  0.000  0.500  0.000
Ru  0.500  0.500  0.500

***

Record 13
Material: BeCo2Ru
Method: DFT, PBE
State: optimized geometry

## Properties
N(E_F) = 4.95 states/eV/cell
total magnetic moment = 0.7107 μB/atom
electronic total energy = -6.768 eV/atom
calculated volume = 11.04 Å³ per atom
formation enthalpy at 0 K = 0.04 eV per atom

Lattice parameters (Å, degrees): 3.727 2.551 4.816 74.58 90.00 90.00
Last column: magnetic moment on the atom in μB.
Positions (direct):
Co  0.500  0.200  0.225  1.55
Be  0.500  0.943  0.740  -0.03
Ru  0.000  0.547  0.533  0.27
Co  0.000  0.810  0.003  1.10